MnGeO: optimized geometry, PBE with a Hubbard U. Values from VASP.

**Final energy**: -38.6 eV for the cell shown
**D(E_F)**: 2.07 states/eV per cell
**Excess energy over the best structure of this formula in the dataset**: 8.10 kJ per mole of atoms
**Density**: 4.7 g cm⁻³

Geometry as Quantum ESPRESSO input:
```
&SYSTEM
  ibrav = 0, nat = 6, ntyp = 3
/
ATOMIC_SPECIES
Mn 54.94 Mn.upf
Ge 72.64 Ge.upf
O 16.00 O.upf
CELL_PARAMETERS angstrom
5.2517 0.0000 0.0000
0.0000 3.1566 0.0000
-2.5672 0.0000 6.1611
ATOMIC_POSITIONS crystal
Mn 0.0000 0.0000 0.0000
Mn 0.4054 0.5000 0.7895
Ge 0.2543 0.5000 0.3597
Ge 0.8064 0.5000 0.4719
O 0.5969 0.0000 0.9539
O 0.9937 0.5000 0.7822
```